Density functional theory data (PBE+U) for NiPtCl2O after structural relaxation.

Calculated values
E_tot ... -15.60 eV/f.u.
Density of states at the Fermi level ... 9.4 states/eV per cell
Total magnetic moment ... 1.236 μB per cell

Structure (POSCAR):
```
NiPtCl2O
1.0
5.046 0.000 0.000
0.000 3.802 0.000
0.000 0.000 5.046
Ni O Pt Cl
1 1 1 2
Direct
0.500 0.500 0.500
0.000 0.500 0.000
0.000 0.000 0.000
0.000 0.000 0.500
0.500 0.000 0.000
```